Entry 1:
Compound: Pu3NbN
Source: the Alexandria database
Functional: PBE
Structure: optimized geometry

Cell lengths 4.7175, 4.7175, 4.7175 Å; angles 90.00, 90.00, 90.00 degrees
Space group Pm-3m (No. 221)
Symmetry-distinct sites (fractional):
Pu 0.0000 0.0000 0.5000
Nb 0.5000 0.5000 0.5000
N 0.0000 0.0000 0.0000

Values from the calculation:
mass density: 13.27 Mg/m³
energy relative to the elements, uncorrected: -0.1776 eV per atom
Fermi-level density of states: 3.289 states/eV per atom

=====

Entry 2:
Compound: SrMgCu2Si2
Source: the Alexandria database
Functional: PBE
Structure: optimized geometry

Cell lengths 4.1832, 4.1832, 7.3501 Å; angles 90.00, 90.00, 120.00 degrees
Space group P-3m1 (No. 164)
Symmetry-distinct sites (fractional):
Sr 0.0000 0.0000 0.0000
Mg 0.0000 0.0000 0.5000
Cu 0.3333 0.6667 0.6682
Si 0.3333 0.6667 0.2945

Values from the calculation:
mass density: 4.40 Mg/m³
energy relative to the elements, uncorrected: -0.2865 eV per atom
Fermi-level density of states: 0.537 states/eV per atom

=====

Entry 3:
Compound: Cs5Au3
Source: the Alexandria database
Functional: PBE
Structure: optimized geometry

Cell lengths 9.4267, 9.4267, 17.7990 Å; angles 90.00, 90.00, 90.00 degrees
Space group P4/ncc (No. 130, origin choice 2)
Symmetry-distinct sites (fractional):
Cs 0.0660 0.5832 0.1087
Cs 0.2500 0.2500 0.2309
Au 0.1395 0.6395 0.7500
Au 0.2500 0.2500 0.0138

Values from the calculation:
mass density: 5.27 Mg/m³
DFT formation energy: -261 meV/atom
Fermi-level density of states: 0.438 states/eV per atom

=====

Entry 4:
Compound: ZrCu2Pb
Source: the Alexandria database
Functional: PBE
Structure: optimized geometry

Cell lengths 3.2262, 3.2262, 7.1363 Å; angles 90.00, 90.00, 90.00 degrees
Space group P4mm (No. 99)
Symmetry-distinct sites (fractional):
Zr 0.0000 0.0000 0.0000
Cu 0.0000 0.0000 0.3977
Cu 0.5000 0.5000 0.2397
Pb 0.5000 0.5000 0.6735

Values from the calculation:
mass density: 9.51 Mg/m³
DFT formation energy: 54 meV/atom
Fermi-level density of states: 0.794 states/eV per atom

=====

Entry 5:
Compound: HfThAs2
Source: the Alexandria database
Functional: PBE
Structure: optimized geometry

Cell lengths 4.2145, 4.2145, 25.1519 Å; angles 90.00, 90.00, 120.00 degrees
Space group R-3m (No. 166, hexagonal axes)
Symmetry-distinct sites (fractional):
Hf 0.0000 0.0000 0.0000
Th 0.0000 0.0000 0.5000
As 0.0000 0.0000 0.1014

Values from the calculation:
energy above the lowest structure with this stoichiometry: 3.95 eV/f.u.
mass density: 7.22 Mg/m³
DFT formation energy: -173 meV/atom
Fermi-level density of states: 0.476 states/eV per atom

=====

Entry 6:
Compound: SiMoBr2
Source: the Alexandria database
Functional: PBE
Structure: optimized geometry

Cell lengths 3.1981, 3.1981, 33.5059 Å; angles 90.00, 90.00, 120.00 degrees
Space group R-3m (No. 166, hexagonal axes)
Symmetry-distinct sites (fractional):
Si 0.0000 0.0000 0.0000
Mo 0.0000 0.0000 0.5000
Br 0.0000 0.0000 0.1113

Values from the calculation:
energy above the lowest structure with this stoichiometry: 1.99 eV/f.u.
mass density: 4.76 Mg/m³
energy relative to the elements, uncorrected: 0.4810 eV per atom
Fermi-level density of states: 0.567 states/eV per atom

=====

Look up the mass density of the first one. 13.27 Mg/m³

=====

Fermi-level density of states of number 3 (Cs5Au3)? 0.438 states/eV per atom

=====

Among the records above, which one has the lowest Fermi-level density of states? Cs5Au3